PBEsol Ta2In, relaxed; E = -9.14 eV/atom; spin magnetization = 0.0 μB/f.u.; V = 110 Å³ per cell; formation energy from the elements = 22 kJ/mol of atoms
1.0
4.7589 0.0000 0.0000
-2.3795 4.1213 0.0000
0.0000 0.0000 5.6223
Ta In
4 2
direct
0.0000 0.0000 0.0000 Ta
0.0000 0.0000 0.5000 Ta
0.3333 0.6667 0.2500 Ta
0.6667 0.3333 0.7500 Ta
0.3333 0.6667 0.7500 In
0.6667 0.3333 0.2500 In

=====

PBEsol TaIn3, relaxed; E = -5.21 eV/atom; spin magnetization = 0.0 μB/f.u.; V = 86 Å³ per cell; formation energy from the elements = 16 kJ/mol of atoms
1.0
2.9995 0.0000 0.0000
0.0000 2.9995 0.0000
0.0000 0.0000 9.5676
Ta In
1 3
direct
0.0000 0.0000 0.0000 Ta
0.0000 0.0000 0.5000 In
0.5000 0.5000 0.2244 In
0.5000 0.5000 0.7756 In

=====

PBEsol Ta2In, relaxed; E = -8.51 eV/atom; spin magnetization = 0.0 μB/f.u.; V = 123 Å³ per cell; formation energy from the elements = 82 kJ/mol of atoms
1.0
-1.8310 1.8310 9.1954
1.8310 -1.8310 9.1954
1.8310 1.8310 -9.1954
Ta In
4 2
direct
0.3040 0.5540 0.7500 Ta
0.4460 0.6960 0.7500 Ta
0.5540 0.3040 0.2500 Ta
0.6960 0.4460 0.2500 Ta
0.1250 0.8750 0.2500 In
0.8750 0.1250 0.7500 In

=====

PBEsol TaIn, relaxed; E = -7.55 eV/atom; spin magnetization = 0.0 μB/f.u.; V = 77 Å³ per cell; formation energy from the elements = 21 kJ/mol of atoms
1.0
-1.8041 2.3055 4.6143
1.8041 -2.3055 4.6143
1.8041 2.3055 -4.6143
Ta In
2 2
direct
0.3888 0.1388 0.2500 Ta
0.6112 0.8612 0.7500 Ta
0.1294 0.3794 0.7500 In
0.8706 0.6206 0.2500 In

=====

PBEsol TaIn, relaxed; E = -7.56 eV/atom; spin magnetization = 0.0 μB/f.u.; V = 116 Å³ per cell; formation energy from the elements = 20 kJ/mol of atoms
1.0
5.6678 -1.4602 0.0000
5.6678 1.4602 0.0000
-1.6893 0.0000 7.0336
Ta In
3 3
direct
0.0000 0.0000 0.0000 Ta
0.0514 0.0514 0.6480 Ta
0.7184 0.7184 0.9824 Ta
0.3242 0.3242 0.6998 In
0.3873 0.3873 0.3016 In
0.6492 0.6492 0.3534 In

=====

PBEsol Ta3In, relaxed; E = -10.00 eV/atom; spin magnetization = 0.0 μB/f.u.; V = 73 Å³ per cell; formation energy from the elements = 15 kJ/mol of atoms
1.0
2.9254 -4.3169 0.0000
2.9254 4.3169 0.0000
0.0000 0.0000 2.8994
Ta In
3 1
direct
0.0000 0.0000 0.0000 Ta
0.0000 0.5000 0.5000 Ta
0.5000 0.0000 0.5000 Ta
0.5000 0.5000 0.0000 In

=====

PBEsol Ta2In, relaxed; E = -9.17 eV/atom; spin magnetization = 0.0 μB/f.u.; V = 56 Å³ per cell; formation energy from the elements = 19 kJ/mol of atoms
1.0
4.7747 0.0000 0.0000
-2.3873 4.1350 0.0000
0.0000 0.0000 2.8174
Ta In
2 1
direct
0.3333 0.6667 0.3463 Ta
0.6667 0.3333 0.6537 Ta
0.0000 0.0000 0.0000 In

=====

PBEsol Ta3In, relaxed; E = -9.91 eV/atom; spin magnetization = 0.0 μB/f.u.; V = 75 Å³ per cell; formation energy from the elements = 24 kJ/mol of atoms
1.0
2.9419 0.0000 0.0000
-1.4709 2.5478 0.0000
0.0000 0.0000 9.9703
Ta In
3 1
direct
0.0000 0.0000 0.0000 Ta
0.3333 0.6667 0.2489 Ta
0.3333 0.6667 0.7511 Ta
0.0000 0.0000 0.5000 In

=====

PBEsol Ta3In, relaxed; E = -9.96 eV/atom; spin magnetization = 0.0 μB/f.u.; V = 73 Å³ per cell; formation energy from the elements = 19 kJ/mol of atoms
1.0
0.0000 3.3139 3.3139
3.3139 0.0000 3.3139
3.3139 3.3139 0.0000
Ta In
3 1
direct
0.0000 0.0000 0.0000 Ta
0.2500 0.2500 0.2500 Ta
0.7500 0.7500 0.7500 Ta
0.5000 0.5000 0.5000 In

=====

PBEsol Ta4In, relaxed; E = -10.56 eV/atom; spin magnetization = 0.0 μB/f.u.; V = 92 Å³ per cell; formation energy from the elements = 8 kJ/mol of atoms
1.0
-3.6451 3.6451 1.7291
3.6451 -3.6451 1.7291
3.6451 3.6451 -1.7291
Ta In
4 1
direct
0.0970 0.6904 0.7874 Ta
0.3096 0.0970 0.4066 Ta
0.6904 0.9030 0.5934 Ta
0.9030 0.3096 0.2126 Ta
0.5000 0.5000 0.0000 In

=====

PBEsol TaIn2, relaxed; E = -5.89 eV/atom; spin magnetization = 0.0 μB/f.u.; V = 62 Å³ per cell; formation energy from the elements = 27 kJ/mol of atoms
1.0
-1.4755 1.4755 7.1010
1.4755 -1.4755 7.1010
1.4755 1.4755 -7.1010
Ta In
1 2
direct
0.0000 0.0000 0.0000 Ta
0.3453 0.3453 0.0000 In
0.6547 0.6547 0.0000 In

=====

PBEsol TaInTc2, relaxed; E = -9.33 eV/atom; spin magnetization = 0.0 μB/f.u.; V = 66 Å³ per cell; formation energy from the elements = 18 kJ/mol of atoms
1.0
1.4277 0.8243 9.3022
-1.4277 0.8243 9.3022
0.0000 -1.6486 9.3022
Ta In Tc
1 1 2
direct
0.0000 0.0000 0.0000 Ta
0.7587 0.7587 0.7587 In
0.2489 0.2489 0.2489 Tc
0.5109 0.5109 0.5109 Tc